(1)
A PBEsol-optimized structure of Ba2ScPdO, computed with meta-GGA SCAN.

The structure belongs to space group P4/mmm (No. 123); the cell edges are 6.0184, 6.0184 and 4.5367 Å and the angles 90.00°, 90.00° and 90.00°. Symmetry generates all atoms from Ba at (0.0000, 0.5000, 0.0000), Sc at (0.0000, 0.0000, 0.0000), Pd at (0.0000, 0.0000, 0.5000) and O at (0.5000, 0.5000, 0.5000).

The formation energy (no corrections) is 0.27 eV/atom. The value obtained for the spin magnetization is 2.73 μB/f.u. For the calculated volume, the calculation gives 32.9 Å³/atom.

---

(2)
A PBEsol-optimized structure of ScAu, computed with meta-GGA SCAN.

The structure belongs to space group Pbcm (No. 57); the cell edges are 9.8523, 8.1636 and 5.7279 Å and the angles 90.00°, 90.00° and 90.00°. Symmetry generates all atoms from Sc at (0.1190, 0.2500, 0.0000), Sc at (0.1792, 0.6338, 0.2500), Sc at (0.3712, 0.0404, 0.2500), Au at (0.0711, 0.5464, 0.7500), Au at (0.3534, 0.1206, 0.7500) and Au at (0.4181, 0.7500, 0.0000).

The value obtained for the formation energy is -0.95 eV per atom. The value obtained for the spin magnetization is 0.00 μB/f.u. For the calculated volume, the calculation gives 19.2 Å³/atom.